[1]
Here is an optimized crystal structure of Tm2NiBi from Alexandria. Energies are from GGA-PBE.

a b c (Å): 6.1419 4.0910 8.1680
angles (deg): 90.00 109.49 90.00
With the nearest neighbours (Å) after each atom.
Sites, in units of the cell vectors:
Tm: 0.1605 0.2500 0.3928  2 Ni 2.78
Tm: 0.2386 0.7500 0.0474  3 Ni 2.83-2.89
Tm: 0.7614 0.2500 0.9526  3 Ni 2.83-2.89
Tm: 0.8395 0.7500 0.6072  2 Ni 2.78
Ni: 0.1188 0.2500 0.7944  5 Tm 2.78-2.89, 2 Bi 2.85
Ni: 0.8812 0.7500 0.2056  5 Tm 2.78-2.89, 2 Bi 2.85
Bi: 0.3846 0.7500 0.7086  2 Ni 2.85, 3 Tm 3.17-3.18
Bi: 0.6154 0.2500 0.2914  2 Ni 2.85, 3 Tm 3.17-3.18

Calculated values
**Space group**: P2_1/m (11)
**Relative energy among the computed polymorphs**: 0.0 meV per atom
**D(E_F)**: 2.8 states/eV/f.u.
**E_tot**: -41.67 eV for the cell shown
**Total magnetization**: 0.0 μB per formula unit
**DFT formation energy**: -215 kJ/mol of formula units

[2]
Here is an optimized crystal structure of Tm6Ni2Bi from Alexandria. Energies are from GGA-PBE.

a b c (Å): 8.3863 8.3863 8.3863
angles (deg): 113.59 109.14 105.78
With the nearest neighbours (Å) after each atom.
Sites, in units of the cell vectors:
Tm: 0.0184 0.2301 0.7884  1 Ni 2.70
Tm: 0.1814 0.2957 0.4771  3 Ni 2.87-3.18
Tm: 0.1814 0.7043 0.8857  3 Ni 2.87-3.18
Tm: 0.3261 0.0137 0.6876  3 Ni 2.67-2.85
Tm: 0.3261 0.6385 0.3124  3 Ni 2.67-2.85
Tm: 0.4417 0.2301 0.2116  1 Ni 2.70
Tm: 0.5583 0.7699 0.7884  1 Ni 2.70
Tm: 0.6739 0.3615 0.6876  3 Ni 2.67-2.85
Tm: 0.6739 0.9863 0.3124  3 Ni 2.67-2.85
Tm: 0.8186 0.2957 0.1143  3 Ni 2.87-3.18
Tm: 0.8186 0.7043 0.5229  3 Ni 2.87-3.18
Tm: 0.9816 0.7699 0.2116  1 Ni 2.70
Ni: 0.1244 0.6244 0.5000  1 Ni 2.52, 2 Tm 2.67
Ni: 0.3525 0.0000 0.3525  6 Tm 2.70-2.85, 1 Ni 2.87
Ni: 0.6475 0.0000 0.6475  6 Tm 2.70-2.85, 1 Ni 2.87
Ni: 0.8756 0.3756 0.5000  1 Ni 2.52, 2 Tm 2.67
Bi: 0.0000 0.0000 0.0000  8 Tm 3.11-3.24, 2 Ni 3.43
Bi: 0.5000 0.5000 0.0000  12 Tm 3.37-3.62

Calculated values
**Space group**: Immm (71)
**D(E_F)**: 8.1 states/eV/f.u.
**E_tot**: -91.75 eV for the cell shown
**Total magnetization**: 0.0 μB per formula unit
**DFT formation energy**: -348 kJ/mol of formula units

[3]
Here is an optimized crystal structure of Tm12NiBi6 from Alexandria. Energies are from GGA-PBE.

a b c (Å): 8.5405 8.5405 8.5405
angles (deg): 99.97 99.97 99.97
With the nearest neighbours (Å) after each atom.
Sites, in units of the cell vectors:
Tm: 0.0018 0.6949 0.9430  1 Ni 2.57
Tm: 0.0570 0.9982 0.3051  1 Ni 2.57
Tm: 0.2048 0.4088 0.5349  4 Bi 3.10-3.34
Tm: 0.3051 0.0570 0.9982  1 Ni 2.57
Tm: 0.4088 0.5349 0.2048  4 Bi 3.10-3.34
Tm: 0.4651 0.7952 0.5912  4 Bi 3.10-3.34
Tm: 0.5349 0.2048 0.4088  4 Bi 3.10-3.34
Tm: 0.5912 0.4651 0.7952  4 Bi 3.10-3.34
Tm: 0.6949 0.9430 0.0018  1 Ni 2.57
Tm: 0.7952 0.5912 0.4651  4 Bi 3.10-3.34
Tm: 0.9430 0.0018 0.6949  1 Ni 2.57
Tm: 0.9982 0.3051 0.0570  1 Ni 2.57
Ni: 0.0000 0.0000 0.0000  6 Tm 2.57
Bi: 0.1145 0.6509 0.3199  7 Tm 3.10-3.34
Bi: 0.3199 0.1145 0.6509  7 Tm 3.10-3.34
Bi: 0.3491 0.6801 0.8855  7 Tm 3.10-3.34
Bi: 0.6509 0.3199 0.1145  7 Tm 3.10-3.34
Bi: 0.6801 0.8855 0.3491  7 Tm 3.10-3.34
Bi: 0.8855 0.3491 0.6801  7 Tm 3.10-3.34

Calculated values
**Space group**: R-3 (148)
**D(E_F)**: 11.1 states/eV/f.u.
**E_tot**: -90.60 eV for the cell shown
**Total magnetization**: 0.0 μB per formula unit
**DFT formation energy**: -759 kJ/mol of formula units

[4]
Here is an optimized crystal structure of Tm4NiBi2 from Alexandria. Energies are from GGA-PBE.

a b c (Å): 8.8446 8.8446 8.8446
angles (deg): 147.44 147.44 46.72
With the nearest neighbours (Å) after each atom.
Sites, in units of the cell vectors:
Tm: 0.0000 0.5000 0.5000  2 Ni 2.48
Tm: 0.1659 0.1659 0.0000  1 Ni 2.69
Tm: 0.5000 0.0000 0.5000  2 Ni 2.48
Tm: 0.8341 0.8341 0.0000  1 Ni 2.69
Ni: 0.0000 0.0000 0.0000  6 Tm 2.48-2.69
Bi: 0.3581 0.3581 0.0000  5 Tm 3.12-3.38
Bi: 0.6419 0.6419 0.0000  5 Tm 3.12-3.38

Calculated values
**Space group**: I4/mmm (139)
**Relative energy among the computed polymorphs**: 0.0 meV per atom
**D(E_F)**: 4.3 states/eV/f.u.
**E_tot**: -34.91 eV for the cell shown
**Total magnetization**: 0.0 μB per formula unit
**DFT formation energy**: -335 kJ/mol of formula units

[5]
Here is an optimized crystal structure of Tm3NiBi from Alexandria. Energies are from GGA-PBE.

a b c (Å): 5.1500 5.1500 5.1500
angles (deg): 90.00 90.00 90.00
With the nearest neighbours (Å) after each atom.
Sites, in units of the cell vectors:
Tm: 0.0000 0.0000 0.5000  2 Ni 2.57
Tm: 0.0000 0.5000 0.0000  2 Ni 2.57
Tm: 0.5000 0.0000 0.0000  2 Ni 2.57
Ni: 0.0000 0.0000 0.0000  6 Tm 2.57
Bi: 0.5000 0.5000 0.5000  12 Tm 3.64

Calculated values
**Space group**: Pm-3m (221)
**Relative energy among the computed polymorphs**: 110.6 meV per atom
**D(E_F)**: 4.2 states/eV/f.u.
**E_tot**: -25.10 eV for the cell shown
**Total magnetization**: 0.0 μB per formula unit
**DFT formation energy**: -195 kJ/mol of formula units

[6]
Here is an optimized crystal structure of Tm4Ni2Bi from Alexandria. Energies are from GGA-PBE.

a b c (Å): 6.7432 6.8073 8.4966
angles (deg): 108.18 107.85 102.91
With the nearest neighbours (Å) after each atom.
Sites, in units of the cell vectors:
Tm: 0.0000 0.0000 0.0000  3 Ni 2.66-2.94
Tm: 0.0428 0.7245 0.6049  2 Ni 2.66-2.78
Tm: 0.2905 0.1447 0.4434  2 Ni 2.69-2.93
Tm: 0.3746 0.5570 0.2694  2 Ni 2.66-2.78
Tm: 0.4494 0.5739 0.8564  3 Ni 2.67-2.91
Tm: 0.5299 0.1546 0.0181  3 Ni 2.67-2.91
Tm: 0.7842 0.1382 0.4308  2 Ni 2.69-2.93
Tm: 0.9372 0.4369 0.8741  3 Ni 2.66-2.94
Ni: 0.1582 0.1799 0.7700  5 Tm 2.66-2.94
Ni: 0.3243 0.8465 0.1040  5 Tm 2.66-2.94
Ni: 0.6587 0.5087 0.6006  5 Tm 2.66-2.93, 1 Bi 2.80
Ni: 0.9946 0.3451 0.2732  5 Tm 2.66-2.93, 1 Bi 2.80
Bi: 0.5863 0.9101 0.6602  1 Ni 2.80, 2 Tm 3.07-3.11
Bi: 0.8633 0.6872 0.2142  1 Ni 2.80, 2 Tm 3.07-3.11

Calculated values
**Space group**: P1 (1)
**D(E_F)**: 5.0 states/eV/f.u.
**E_tot**: -72.56 eV for the cell shown
**Total magnetization**: 0.0 μB per formula unit
**DFT formation energy**: -285 kJ/mol of formula units

[7]
Here is an optimized crystal structure of Tm2NiBi from Alexandria. Energies are from GGA-PBE.

a b c (Å): 9.5483 9.5483 9.5483
angles (deg): 22.90 22.90 22.90
With the nearest neighbours (Å) after each atom.
Sites, in units of the cell vectors:
Tm: 0.1137 0.1137 0.1137  3 Ni 2.64
Tm: 0.8863 0.8863 0.8863  3 Ni 2.64
Ni: 0.5000 0.5000 0.5000  6 Tm 2.64
Bi: 0.0000 0.0000 0.0000  2 Tm 3.17

Calculated values
**Space group**: R-3m (166)
**Relative energy among the computed polymorphs**: 370.0 meV per atom
**D(E_F)**: 3.0 states/eV/f.u.
**E_tot**: -19.36 eV for the cell shown
**Total magnetization**: 0.0 μB per formula unit
**DFT formation energy**: -72 kJ/mol of formula units

[8]
Here is an optimized crystal structure of Tm2NiBi from Alexandria. Energies are from GGA-PBE.

a b c (Å): 3.4611 3.4611 7.8810
angles (deg): 90.00 90.00 90.00
With the nearest neighbours (Å) after each atom.
Sites, in units of the cell vectors:
Tm: 0.0000 0.0000 0.2004  4 Ni 2.91, 1 Tm 3.16
Tm: 0.0000 0.0000 0.7996  4 Ni 2.91, 1 Tm 3.16
Ni: 0.5000 0.5000 0.0000  8 Tm 2.91
Bi: 0.5000 0.5000 0.5000  8 Tm 3.40, 4 Bi 3.46

Calculated values
**Space group**: P4/mmm (123)
**Relative energy among the computed polymorphs**: 118.1 meV per atom
**D(E_F)**: 2.6 states/eV/f.u.
**E_tot**: -20.36 eV for the cell shown
**Total magnetization**: 0.0 μB per formula unit
**DFT formation energy**: -170 kJ/mol of formula units

[9]
Here is an optimized crystal structure of Tm3NiBi from Alexandria. Energies are from GGA-PBE.

a b c (Å): 7.8913 4.2859 8.3338
angles (deg): 90.00 115.07 90.00
With the nearest neighbours (Å) after each atom.
Sites, in units of the cell vectors:
Tm: 0.0394 0.2500 0.2446  3 Ni 2.74-2.90
Tm: 0.3224 0.7500 0.5927  3 Ni 2.80-2.91
Tm: 0.3284 0.2500 0.9141  1 Ni 2.64
Tm: 0.6716 0.7500 0.0859  1 Ni 2.64
Tm: 0.6776 0.2500 0.4073  3 Ni 2.80-2.91
Tm: 0.9606 0.7500 0.7554  3 Ni 2.74-2.90
Ni: 0.0689 0.2500 0.5845  2 Ni 2.54, 3 Tm 2.64-2.80
Ni: 0.9311 0.7500 0.4155  2 Ni 2.54, 3 Tm 2.64-2.80
Bi: 0.3206 0.7500 0.1989  9 Tm 3.22-3.58
Bi: 0.6794 0.2500 0.8011  9 Tm 3.22-3.58

Calculated values
**Space group**: P2_1/m (11)
**Relative energy among the computed polymorphs**: 0.0 meV per atom
**D(E_F)**: 4.6 states/eV/f.u.
**E_tot**: -51.30 eV for the cell shown
**Total magnetization**: 0.0 μB per formula unit
**DFT formation energy**: -248 kJ/mol of formula units

[10]
Here is an optimized crystal structure of TmNi4Bi from Alexandria. Energies are from GGA-PBE.

a b c (Å): 5.0426 5.0426 5.0426
angles (deg): 60.00 60.00 60.00
With the nearest neighbours (Å) after each atom.
Sites, in units of the cell vectors:
Tm: 0.0000 0.0000 0.0000  12 Ni 2.95, 4 Bi 3.09
Ni: 0.3741 0.3741 0.3741  6 Ni 2.50-2.54
Ni: 0.3741 0.3741 0.8776  6 Ni 2.50-2.54
Ni: 0.3741 0.8776 0.3741  6 Ni 2.50-2.54
Ni: 0.8776 0.3741 0.3741  6 Ni 2.50-2.54
Bi: 0.7500 0.7500 0.7500  12 Ni 2.96, 4 Tm 3.09

Calculated values
**Space group**: F-43m (216)
**D(E_F)**: 4.8 states/eV/f.u.
**E_tot**: -33.01 eV for the cell shown
**Total magnetization**: 0.0 μB per formula unit
**DFT formation energy**: -148 kJ/mol of formula units

[11]
Here is an optimized crystal structure of TmNi2Bi from Alexandria. Energies are from GGA-PBE.

a b c (Å): 4.6486 4.6486 4.6486
angles (deg): 60.00 60.00 60.00
With the nearest neighbours (Å) after each atom.
Sites, in units of the cell vectors:
Tm: 0.0000 0.0000 0.0000  8 Ni 2.85
Ni: 0.2500 0.2500 0.2500  4 Bi 2.85, 4 Tm 2.85
Ni: 0.7500 0.7500 0.7500  4 Bi 2.85, 4 Tm 2.85
Bi: 0.5000 0.5000 0.5000  8 Ni 2.85

Calculated values
**Space group**: Fm-3m (225)
**D(E_F)**: 2.9 states/eV/f.u.
**E_tot**: -21.09 eV for the cell shown
**Total magnetization**: 0.0 μB per formula unit
**DFT formation energy**: -113 kJ/mol of formula units

[12]
Here is an optimized crystal structure of Tm2Ni2Bi from Alexandria. Energies are from GGA-PBE.

a b c (Å): 5.8262 5.8262 5.8262
angles (deg): 48.20 48.20 48.20
With the nearest neighbours (Å) after each atom.
Sites, in units of the cell vectors:
Tm: 0.2309 0.2309 0.2309  4 Ni 2.76-2.94
Tm: 0.7691 0.7691 0.7691  4 Ni 2.76-2.94
Ni: 0.4215 0.4215 0.4215  1 Ni 2.42
Ni: 0.5785 0.5785 0.5785  1 Ni 2.42
Bi: 0.0000 0.0000 0.0000  6 Ni 3.06, 6 Tm 3.17

Calculated values
**Space group**: R-3m (166)
**D(E_F)**: 3.2 states/eV/f.u.
**E_tot**: -26.20 eV for the cell shown
**Total magnetization**: 0.0 μB per formula unit
**DFT formation energy**: -175 kJ/mol of formula units